Entry 1:
The following is a PBE calculation of an optimized crystal structure of Rb3Tb3USe8, from Alexandria.

Calculated values
- Formation energy without anion corrections: -1.634 eV/atom
- Size of the total moment: 2.00 μB per formula unit
- Uncorrected energy: -5.364 eV per atom

Structure (CIF):
```
data_Rb3Tb3USe8
_chemical_formula_sum 'Rb3 Tb3 U1 Se8'
_cell_length_a 8.420
_cell_length_b 8.433
_cell_length_c 9.486
_cell_angle_alpha 63.68
_cell_angle_beta 63.67
_cell_angle_gamma 60.06
_space_group_name_H-M_alt 'P -1'
_space_group_IT_number 2
loop_
_space_group_symop_operation_xyz
'x,y,z'
'-x,-y,-z'
loop_
_atom_site_label
_atom_site_fract_x
_atom_site_fract_y
_atom_site_fract_z
Rb1 0.000 0.000 0.000
Rb2 0.000 0.500 0.000
Rb3 0.500 0.000 0.000
Tb1 0.000 0.500 0.500
Tb2 0.500 0.000 0.500
Tb3 0.500 0.500 0.500
U1 0.000 0.000 0.500
Se1 0.227 0.735 0.309
Se2 0.228 0.228 0.309
Se3 0.265 0.772 0.691
Se4 0.269 0.268 0.695
```

Entry 2:
The following is a PBE calculation of an optimized crystal structure of Rb3Tb2YSe6, from Alexandria.

Calculated values
- Formation energy without anion corrections: -1.745 eV/atom
- Size of the total moment: 0.00 μB per formula unit
- Uncorrected energy: -5.039 eV per atom

Structure (CIF):
```
data_Rb3Tb2YSe6
_chemical_formula_sum 'Rb6 Tb4 Y2 Se12'
_cell_length_a 7.369
_cell_length_b 12.764
_cell_length_c 8.365
_cell_angle_alpha 90.00
_cell_angle_beta 107.08
_cell_angle_gamma 90.00
_space_group_name_H-M_alt 'C 1 2/m 1'
_space_group_IT_number 12
loop_
_space_group_symop_operation_xyz
'x,y,z'
'-x,-y,-z'
'-x,y,-z'
'x,-y,z'
'x+1/2,y+1/2,z'
'-x+1/2,-y+1/2,-z'
'-x+1/2,y+1/2,-z'
'x+1/2,-y+1/2,z'
loop_
_atom_site_label
_atom_site_fract_x
_atom_site_fract_y
_atom_site_fract_z
Rb1 0.000 0.000 0.000
Rb2 0.000 0.333 0.000
Tb1 0.000 0.167 0.500
Y1 0.000 0.500 0.500
Se1 0.232 0.334 0.696
Se2 0.233 0.000 0.696
```

Entry 3:
The following is a PBE calculation of an optimized crystal structure of Rb3TbY2Se6, from Alexandria.

Calculated values
- Formation energy without anion corrections: -1.747 eV/atom
- Size of the total moment: 0.00 μB per formula unit
- Uncorrected energy: -5.194 eV per atom

Structure (CIF):
```
data_Rb3TbY2Se6
_chemical_formula_sum 'Rb6 Tb2 Y4 Se12'
_cell_length_a 7.360
_cell_length_b 12.748
_cell_length_c 8.364
_cell_angle_alpha 90.00
_cell_angle_beta 107.06
_cell_angle_gamma 90.00
_space_group_name_H-M_alt 'C 1 2/m 1'
_space_group_IT_number 12
loop_
_space_group_symop_operation_xyz
'x,y,z'
'-x,-y,-z'
'-x,y,-z'
'x,-y,z'
'x+1/2,y+1/2,z'
'-x+1/2,-y+1/2,-z'
'-x+1/2,y+1/2,-z'
'x+1/2,-y+1/2,z'
loop_
_atom_site_label
_atom_site_fract_x
_atom_site_fract_y
_atom_site_fract_z
Rb1 0.000 0.000 0.000
Rb2 0.000 0.333 0.000
Tb1 0.000 0.500 0.500
Y1 0.000 0.167 0.500
Se1 0.231 0.000 0.696
Se2 0.232 0.333 0.696
```

Entry 4:
The following is a PBE calculation of an optimized crystal structure of Rb3TbY3Se8, from Alexandria.

Calculated values
- Formation energy without anion corrections: -1.680 eV/atom
- Size of the total moment: 0.00 μB per formula unit
- Uncorrected energy: -5.333 eV per atom

Structure (CIF):
```
data_Rb3TbY3Se8
_chemical_formula_sum 'Rb6 Tb2 Y6 Se16'
_cell_length_a 14.467
_cell_length_b 8.351
_cell_length_c 9.505
_cell_angle_alpha 90.00
_cell_angle_beta 120.50
_cell_angle_gamma 90.00
_space_group_name_H-M_alt 'C 1 2/m 1'
_space_group_IT_number 12
loop_
_space_group_symop_operation_xyz
'x,y,z'
'-x,-y,-z'
'-x,y,-z'
'x,-y,z'
'x+1/2,y+1/2,z'
'-x+1/2,-y+1/2,-z'
'-x+1/2,y+1/2,-z'
'x+1/2,-y+1/2,z'
loop_
_atom_site_label
_atom_site_fract_x
_atom_site_fract_y
_atom_site_fract_z
Rb1 0.000 0.000 0.000
Rb2 0.250 0.250 0.000
Tb1 0.000 0.000 0.500
Y1 0.000 0.500 0.500
Y2 0.250 0.250 0.500
Se1 0.019 0.251 0.306
Se2 0.232 0.000 0.694
Se3 0.233 0.500 0.696
```

Entry 5:
The following is a PBE calculation of an optimized crystal structure of Rb2TbYSe4, from Alexandria.

Calculated values
- Formation energy without anion corrections: -1.745 eV/atom
- Size of the total moment: 0.00 μB per formula unit
- Uncorrected energy: -5.116 eV per atom

Structure (CIF):
```
data_Rb2TbYSe4
_chemical_formula_sum 'Rb2 Tb1 Y1 Se4'
_cell_length_a 7.364
_cell_length_b 4.253
_cell_length_c 8.363
_cell_angle_alpha 90.00
_cell_angle_beta 107.05
_cell_angle_gamma 90.00
_space_group_name_H-M_alt 'P 1 2/m 1'
_space_group_IT_number 10
loop_
_space_group_symop_operation_xyz
'x,y,z'
'-x,-y,-z'
'-x,y,-z'
'x,-y,z'
loop_
_atom_site_label
_atom_site_fract_x
_atom_site_fract_y
_atom_site_fract_z
Rb1 0.000 0.000 0.000
Rb2 0.500 0.500 0.000
Tb1 0.000 0.500 0.500
Y1 0.500 0.000 0.500
Se1 0.232 0.000 0.696
Se2 0.269 0.500 0.304
```

Entry 6:
The following is a PBE calculation of an optimized crystal structure of Rb2TbZrSe4, from Alexandria.

Calculated values
- Formation energy without anion corrections: -1.497 eV/atom
- Size of the total moment: 0.00 μB per formula unit
- Uncorrected energy: -5.129 eV per atom

Structure (CIF):
```
data_Rb2TbZrSe4
_chemical_formula_sum 'Rb2 Tb1 Zr1 Se4'
_cell_length_a 7.136
_cell_length_b 4.084
_cell_length_c 8.374
_cell_angle_alpha 90.00
_cell_angle_beta 106.21
_cell_angle_gamma 90.00
_space_group_name_H-M_alt 'P 1 2/m 1'
_space_group_IT_number 10
loop_
_space_group_symop_operation_xyz
'x,y,z'
'-x,-y,-z'
'-x,y,-z'
'x,-y,z'
loop_
_atom_site_label
_atom_site_fract_x
_atom_site_fract_y
_atom_site_fract_z
Rb1 0.000 0.000 0.000
Rb2 0.500 0.500 0.000
Tb1 0.000 0.500 0.500
Zr1 0.500 0.000 0.500
Se1 0.244 0.000 0.697
Se2 0.280 0.500 0.306
```

Copy entry 6 word for word.
The following is a PBE calculation of an optimized crystal structure of Rb2TbZrSe4, from Alexandria.

Calculated values
- Formation energy without anion corrections: -1.497 eV/atom
- Size of the total moment: 0.00 μB per formula unit
- Uncorrected energy: -5.129 eV per atom

Structure (CIF):
```
data_Rb2TbZrSe4
_chemical_formula_sum 'Rb2 Tb1 Zr1 Se4'
_cell_length_a 7.136
_cell_length_b 4.084
_cell_length_c 8.374
_cell_angle_alpha 90.00
_cell_angle_beta 106.21
_cell_angle_gamma 90.00
_space_group_name_H-M_alt 'P 1 2/m 1'
_space_group_IT_number 10
loop_
_space_group_symop_operation_xyz
'x,y,z'
'-x,-y,-z'
'-x,y,-z'
'x,-y,z'
loop_
_atom_site_label
_atom_site_fract_x
_atom_site_fract_y
_atom_site_fract_z
Rb1 0.000 0.000 0.000
Rb2 0.500 0.500 0.000
Tb1 0.000 0.500 0.500
Zr1 0.500 0.000 0.500
Se1 0.244 0.000 0.697
Se2 0.280 0.500 0.306
```

> The lowest uncorrected energy belongs to which entry?

Rb3Tb3USe8

> Among the records above, which one has the highest formation energy without anion corrections?

Rb2TbZrSe4

> What is the size of the total moment in the sixth record?

0.00 μB per formula unit